Here is a relaxed structure of KYGe2Cl8 from Alexandria. Energies are from GGA-PBE.

a = 6.885 Å, b = 6.320 Å, c = 8.933 Å
α = 89.54°, β = 86.68°, γ = 85.79°
Sites, in units of the cell vectors:
Cl1 0.357 0.278 0.561
Cl2 0.138 0.735 0.781
Cl3 0.643 0.722 0.439
Cl4 0.688 0.762 0.039
Cl5 0.812 0.212 0.793
Cl6 0.312 0.238 0.961
Cl7 0.862 0.265 0.219
Cl8 0.188 0.788 0.207
Y1 0.000 0.000 0.000
Ge1 0.451 0.461 0.762
Ge2 0.549 0.539 0.238
K1 0.000 0.000 0.500

Summary:
total magnetization: 0.00 μB per formula unit
crystal system: triclinic
uncorrected formation energy: -1.48 eV per atom
space-group type: P-1, No. 2